This record from Alexandria via LeMat-Bulk describes a crystal of La2NbAlZn relaxed with PBEsol. The functional is SCAN.

Summary:
E_form: 38.6 kJ/mol of atoms
space group: P4/mmm (123)
D(E_F): 4.8 states/eV per cell

abc: 5.406 5.406 5.067
angles: 90.00 90.00 90.00
Sites, in units of the cell vectors:
La: 0.000 0.500 0.000
La: 0.500 0.000 0.000
Nb: 0.000 0.000 0.000
Al: 0.000 0.000 0.500
Zn: 0.500 0.500 0.500

This record from Alexandria via LeMat-Bulk describes a crystal of YHgMoS2 relaxed with PBEsol. The functional is SCAN.

Summary:
energy relative to the elements, uncorrected: -0.260 eV/atom
space group: P4/mmm (123)
D(E_F): 2.7 states/eV per cell

abc: 4.583 4.583 5.539
angles: 90.00 90.00 90.00
Sites, in units of the cell vectors:
Y: 0.000 0.000 0.000
Hg: 0.500 0.500 0.000
Mo: 0.000 0.000 0.500
S: 0.000 0.500 0.500
S: 0.500 0.000 0.500

This record from Alexandria via LeMat-Bulk describes a crystal of CaLa3Pb relaxed with PBEsol. The functional is SCAN.

Summary:
E_form: -3.0 kJ/mol of atoms
space group: Pm-3m (221)
D(E_F): 6.9 states/eV per cell

abc: 6.113 6.113 6.113
angles: 90.00 90.00 90.00
Sites, in units of the cell vectors:
Ca: 0.000 0.000 0.000
La: 0.000 0.500 0.500
La: 0.500 0.000 0.500
La: 0.500 0.500 0.000
Pb: 0.500 0.500 0.500

Taking the records one at a time from the top gives total magnetic moment values of 0.000 0.000 1.608 μB/cell.
Taking the records one at a time from the top gives mass density values of 5.19 6.42 4.83 g/cm³.